Record 1
Tm2HfTh GGA-PBE optimized geometry; ΔH_f (0 K) = 22.5 kJ/mol of atoms; symmetry = No. 123; volume = 28.422 Å³ per atom; spin magnetization = 0.00 Bohr magnetons per cell; energy above the most stable polymorph in this dataset = 135 meV per atom; VASP energy = -6.35 eV per atom
1.0
4.0040 0.0000 0.0000
0.0000 4.0040 0.0000
0.0000 0.0000 7.0914
Tm Hf Th
2 1 1
Cartesian
0.0000 0.0000 1.6275
0.0000 0.0000 5.4639
2.0020 2.0020 0.0000
2.0020 2.0020 3.5457

Record 2
Tm2HfTh GGA-PBE optimized geometry; ΔH_f (0 K) = 11.6 kJ/mol of atoms; symmetry = No. 160; volume = 28.364 Å³ per atom; spin magnetization = 0.00 Bohr magnetons per cell; energy above the most stable polymorph in this dataset = 21 meV per atom; VASP energy = -6.46 eV per atom
1.0
1.6991 0.9809 11.3453
-1.6991 0.9809 11.3453
0.0000 -1.9619 11.3453
Tm Hf Th
2 1 1
Cartesian
0.0000 0.0000 0.0000
0.0000 0.0000 6.1264
0.0000 0.0000 20.0850
0.0000 0.0000 25.7257

Record 3
HfThV GGA-PBE optimized geometry; ΔH_f (0 K) = 38.0 kJ/mol of atoms; symmetry = No. 38; volume = 23.068 Å³ per atom; spin magnetization = 0.00 Bohr magnetons per cell; VASP energy = -8.44 eV per atom
1.0
5.2037 0.0000 0.0000
0.0000 5.7529 3.4675
0.0000 -5.7529 3.4675
Hf Th V
3 3 3
Cartesian
0.0000 0.0000 0.0000
0.0000 -2.9225 2.2044
0.0000 2.9225 2.2044
0.0000 0.0000 3.6426
2.6018 -3.7132 4.1401
2.6018 3.7132 4.1401
2.6018 0.0000 2.8733
2.6018 -1.1175 5.1499
2.6018 1.1175 5.1499